Entry 1:
# CoIr8Ru2

Crystalline CoIr8Ru2 at its relaxed geometry (PBE, Alexandria).

CIF file:
```
data_CoIr8Ru2
_cell_length_a 3.810
_cell_length_b 7.594
_cell_length_c 11.348
_cell_angle_alpha 90.00
_cell_angle_beta 90.00
_cell_angle_gamma 90.00
_symmetry_space_group_name_H-M 'I m m m'
_symmetry_Int_Tables_number 71
_symmetry_space_group_name_Hall '-I 2 2'
loop_
_atom_site_label
_atom_site_fract_x
_atom_site_fract_y
_atom_site_fract_z
Co1 0.000 0.000 0.000
Ir1 0.000 0.250 0.162
Ir2 0.000 0.259 0.500
Ir3 0.000 0.500 0.325
Ru1 0.000 0.000 0.336
```

* Fermi-level density of states: 0.964 states/eV per atom
* M_tot: 0.0000 μB per atom

***

Entry 2:
# NiIr2Os

Crystalline NiIr2Os at its relaxed geometry (PBE, Alexandria).

CIF file:
```
data_NiIr2Os
_cell_length_a 2.699
_cell_length_b 4.534
_cell_length_c 4.608
_cell_angle_alpha 90.00
_cell_angle_beta 90.00
_cell_angle_gamma 90.00
_symmetry_space_group_name_H-M 'P m m m'
_symmetry_Int_Tables_number 47
loop_
_symmetry_equiv_pos_as_xyz
'x,y,z'
'-x,-y,-z'
'-x,-y,z'
'x,y,-z'
'x,-y,-z'
'-x,y,z'
'-x,y,-z'
'x,-y,z'
loop_
_atom_site_label
_atom_site_fract_x
_atom_site_fract_y
_atom_site_fract_z
Ni1 0.000 0.000 0.000
Ir1 0.000 0.500 0.500
Ir2 0.500 0.500 0.000
Os1 0.500 0.000 0.500
```

* energy above the lowest structure with this stoichiometry: 1.56 eV per formula unit
* Fermi-level density of states: 1.766 states/eV per atom
* M_tot: 0.1599 μB per atom

***

Entry 3:
# Pm2Pr3Au2

Crystalline Pm2Pr3Au2 at its relaxed geometry (PBE, Alexandria).

CIF file:
```
data_Pm2Pr3Au2
_cell_length_a 12.909
_cell_length_b 3.899
_cell_length_c 9.463
_cell_angle_alpha 90.00
_cell_angle_beta 114.71
_cell_angle_gamma 90.00
_symmetry_space_group_name_H-M 'C 1 2/m 1'
_symmetry_Int_Tables_number 12
loop_
_symmetry_equiv_pos_as_xyz
'x,y,z'
'-x,-y,-z'
'-x,y,-z'
'x,-y,z'
'x+1/2,y+1/2,z'
'-x+1/2,-y+1/2,-z'
'-x+1/2,y+1/2,-z'
'x+1/2,-y+1/2,z'
loop_
_atom_site_label
_atom_site_fract_x
_atom_site_fract_y
_atom_site_fract_z
Pm1 0.155 0.000 0.313
Pr1 0.000 0.500 0.500
Pr2 0.113 0.500 0.944
Au1 0.169 0.000 0.725
```

* Fermi-level density of states: 1.006 states/eV per atom
* M_tot: 0.0000 μB per atom

***

Entry 4:
# B5C7

Crystalline B5C7 at its relaxed geometry (PBE, Alexandria).

CIF file:
```
data_B5C7
_cell_length_a 4.549
_cell_length_b 4.556
_cell_length_c 4.621
_cell_angle_alpha 81.78
_cell_angle_beta 71.57
_cell_angle_gamma 60.57
_symmetry_space_group_name_H-M 'P 1'
_symmetry_Int_Tables_number 1
loop_
_symmetry_equiv_pos_as_xyz
'x,y,z'
loop_
_atom_site_label
_atom_site_fract_x
_atom_site_fract_y
_atom_site_fract_z
B1 0.000 0.000 0.000
B2 0.057 0.595 0.813
B3 0.193 0.299 0.403
B4 0.361 0.286 0.980
B5 0.633 0.635 0.009
C1 0.166 0.656 0.471
C2 0.389 0.968 0.843
C3 0.515 0.952 0.488
C4 0.540 0.634 0.373
C5 0.728 0.299 0.843
C6 0.818 0.302 0.488
C7 0.868 0.970 0.366
```

* energy above the lowest structure with this stoichiometry: 1.95 eV per formula unit
* Fermi-level density of states: 0.135 states/eV per atom
* M_tot: 0.0000 μB per atom

***

Entry 5:
# SnMo3Pb

Crystalline SnMo3Pb at its relaxed geometry (PBE, Alexandria).

CIF file:
```
data_SnMo3Pb
_cell_length_a 4.949
_cell_length_b 4.949
_cell_length_c 4.949
_cell_angle_alpha 90.00
_cell_angle_beta 90.00
_cell_angle_gamma 90.00
_symmetry_space_group_name_H-M 'P m -3 m'
_symmetry_Int_Tables_number 221
_symmetry_space_group_name_Hall '-P 4 2 3'
loop_
_atom_site_label
_atom_site_fract_x
_atom_site_fract_y
_atom_site_fract_z
Sn1 0.000 0.000 0.000
Mo1 0.000 0.000 0.500
Pb1 0.500 0.500 0.500
```

* energy above the lowest structure with this stoichiometry: 0.00 eV per formula unit
* Fermi-level density of states: 2.040 states/eV per atom
* M_tot: 0.0002 μB per atom

***

Entry 6:
# LaMg2

Crystalline LaMg2 at its relaxed geometry (PBE, Alexandria).

CIF file:
```
data_LaMg2
_cell_length_a 5.713
_cell_length_b 5.713
_cell_length_c 3.573
_cell_angle_alpha 90.00
_cell_angle_beta 90.00
_cell_angle_gamma 90.00
_symmetry_space_group_name_H-M 'P 4/m m m'
_symmetry_Int_Tables_number 123
_symmetry_space_group_name_Hall '-P 4 2'
loop_
_atom_site_label
_atom_site_fract_x
_atom_site_fract_y
_atom_site_fract_z
La1 0.000 0.000 0.000
Mg1 0.000 0.500 0.500
```

* Fermi-level density of states: 1.281 states/eV per atom
* M_tot: 0.0004 μB per atom

***

| no. | ΔE_f (eV/atom) |
| --- | --- |
| 1 | 0.18 |
| 2 | 0.40 |
| 3 | -0.44 |
| 4 | 0.42 |
| 5 | 2.00 |
| 6 | 0.39 |